<A>
# Cu4SeS2

A relaxed Cu4SeS2 crystal (PBE-GGA, the Alexandria database).

abc: 5.703 5.703 5.039
angles: 90.00 90.00 90.00
Fractional positions:
Cu1 0.205 0.205 0.337
Cu2 0.205 0.795 0.663
Cu3 0.795 0.205 0.663
Cu4 0.795 0.795 0.337
Se1 0.000 0.000 0.000
S1 0.000 0.500 0.500
S2 0.500 0.000 0.500

Results
Fermi-level density of states, states/eV per cell: 5.9
Space-group type: P-42m, No. 111
Crystal system: tetragonal



<B>
# Cu4SeS2

A relaxed Cu4SeS2 crystal (PBE-GGA, the Alexandria database).

abc: 4.680 4.680 11.918
angles: 90.00 90.00 90.00
Fractional positions:
Cu1 0.000 0.000 0.198
Cu2 0.000 0.000 0.802
Cu3 0.000 0.500 0.000
Cu4 0.000 0.500 0.500
Cu5 0.500 0.000 0.000
Cu6 0.500 0.000 0.500
Cu7 0.500 0.500 0.302
Cu8 0.500 0.500 0.698
Se1 0.000 0.000 0.000
Se2 0.500 0.500 0.500
S1 0.000 0.000 0.376
S2 0.000 0.000 0.624
S3 0.500 0.500 0.124
S4 0.500 0.500 0.876

Results
Fermi-level density of states, states/eV per cell: 13.8
Space-group type: I4/mmm, No. 139
Crystal system: tetragonal



Short version: <A>, <B>, most stable first.